1.
Li2Fe3F8 after structural relaxation. Source: Alexandria via LeMat-Bulk, functional GGA-PBEsol.

The structure in CIF format:
```
data_Li2Fe3F8
_chemical_formula_sum 'Li8 Fe12 F32'
_cell_length_a 5.8150
_cell_length_b 12.0219
_cell_length_c 8.5323
_cell_angle_alpha 90.00
_cell_angle_beta 90.00
_cell_angle_gamma 90.00
_space_group_name_H-M_alt 'C m c e'
_space_group_IT_number 64
_space_group_name_Hall '-C 2ac 2'
loop_
_atom_site_label
_atom_site_type_symbol
_atom_site_fract_x
_atom_site_fract_y
_atom_site_fract_z
_atom_site_occupancy
Li1 Li 0.0000 0.1429 0.1157 1
Fe1 Fe 0.0000 0.0000 0.5000 1
Fe2 Fe 0.2500 0.1161 0.7500 1
F1 F 0.0000 0.0129 0.2474 1
F2 F 0.0000 0.2351 0.7460 1
F3 F 0.2498 0.1161 0.5138 1
```

Computed properties:
DOS at the Fermi energy: 16.94 states/eV/cell
energy relative to the elements, uncorrected: -210.1 kJ/mol of atoms
excess energy over the best structure of this formula in the dataset: 3 meV/atom
crystal system: orthorhombic
total magnetization: 48.000 μB/cell

---

2.
ScTcSe2 after structural relaxation. Source: Alexandria via LeMat-Bulk, functional GGA-PBEsol.

The structure in CIF format:
```
data_ScTcSe2
_chemical_formula_sum 'Sc2 Tc2 Se4'
_cell_length_a 4.2040
_cell_length_b 4.7868
_cell_length_c 6.5150
_cell_angle_alpha 90.00
_cell_angle_beta 90.00
_cell_angle_gamma 90.00
_space_group_name_H-M_alt 'C m m m'
_space_group_IT_number 65
_space_group_name_Hall '-C 2 2'
loop_
_atom_site_label
_atom_site_type_symbol
_atom_site_fract_x
_atom_site_fract_y
_atom_site_fract_z
_atom_site_occupancy
Sc1 Sc 0.0000 0.0000 0.0000 1
Tc1 Tc 0.0000 0.0000 0.5000 1
Se1 Se 0.0000 0.5000 0.2646 1
```

Computed properties:
DOS at the Fermi energy: 7.33 states/eV/cell
energy relative to the elements, uncorrected: -45.2 kJ/mol of atoms
excess energy over the best structure of this formula in the dataset: 210 meV/atom
crystal system: orthorhombic
total magnetization: 0.002 μB/cell

---

3.
SmYFe4 after structural relaxation. Source: Alexandria via LeMat-Bulk, functional GGA-PBEsol.

The structure in CIF format:
```
data_SmYFe4
_chemical_formula_sum 'Sm4 Y4 Fe16'
_cell_length_a 7.1495
_cell_length_b 7.1495
_cell_length_c 7.1495
_cell_angle_alpha 90.00
_cell_angle_beta 90.00
_cell_angle_gamma 90.00
_space_group_name_H-M_alt 'F -4 3 m'
_space_group_IT_number 216
_space_group_name_Hall 'F -4 2 3'
loop_
_atom_site_label
_atom_site_type_symbol
_atom_site_fract_x
_atom_site_fract_y
_atom_site_fract_z
_atom_site_occupancy
Sm1 Sm 0.0000 0.0000 0.0000 1
Y1 Y 0.2500 0.2500 0.7500 1
Fe1 Fe 0.1250 0.1250 0.3750 1
```

Computed properties:
DOS at the Fermi energy: 28.93 states/eV/cell
crystal system: cubic
total magnetization: 24.567 μB/cell
energy of formation from the pure elements: -0.013 eV/atom

---

4.
Zn2CoNiO after structural relaxation. Source: Alexandria via LeMat-Bulk, functional GGA-PBEsol.

The structure in CIF format:
```
data_Zn2CoNiO
_chemical_formula_sum 'Zn2 Co1 Ni1 O1'
_cell_length_a 4.4112
_cell_length_b 4.4112
_cell_length_c 4.1246
_cell_angle_alpha 90.00
_cell_angle_beta 90.00
_cell_angle_gamma 90.00
_space_group_name_H-M_alt 'P 4/m m m'
_space_group_IT_number 123
_space_group_name_Hall '-P 4 2'
loop_
_atom_site_label
_atom_site_type_symbol
_atom_site_fract_x
_atom_site_fract_y
_atom_site_fract_z
_atom_site_occupancy
Zn1 Zn 0.0000 0.5000 0.0000 1
Co1 Co 0.0000 0.0000 0.0000 1
Ni1 Ni 0.0000 0.0000 0.5000 1
O1 O 0.5000 0.5000 0.5000 1
```

Computed properties:
DOS at the Fermi energy: 6.66 states/eV/cell
energy relative to the elements, uncorrected: 106.7 kJ/mol of atoms
crystal system: tetragonal
total magnetization: 2.380 μB/cell

---

5.
MgAlInNi2 after structural relaxation. Source: Alexandria via LeMat-Bulk, functional GGA-PBEsol.

The structure in CIF format:
```
data_MgAlInNi2
_chemical_formula_sum 'Mg1 Al1 In1 Ni2'
_cell_length_a 4.3750
_cell_length_b 4.3750
_cell_length_c 4.8636
_cell_angle_alpha 90.00
_cell_angle_beta 90.00
_cell_angle_gamma 90.00
_space_group_name_H-M_alt 'P 4/m m m'
_space_group_IT_number 123
_space_group_name_Hall '-P 4 2'
loop_
_atom_site_label
_atom_site_type_symbol
_atom_site_fract_x
_atom_site_fract_y
_atom_site_fract_z
_atom_site_occupancy
Mg1 Mg 0.0000 0.0000 0.0000 1
Al1 Al 0.5000 0.5000 0.5000 1
In1 In 0.5000 0.5000 0.0000 1
Ni1 Ni 0.0000 0.5000 0.5000 1
```

Computed properties:
DOS at the Fermi energy: 2.33 states/eV/cell
crystal system: tetragonal
total magnetization: 0.000 μB/cell
energy of formation from the pure elements: 0.548 eV/atom

---

6.
SrMo2As2O12 after structural relaxation. Source: Alexandria via LeMat-Bulk, functional GGA-PBEsol.

The structure in CIF format:
```
data_SrMo2As2O12
_chemical_formula_sum 'Sr2 Mo4 As4 O24'
_cell_length_a 6.5959
_cell_length_b 6.8462
_cell_length_c 10.5650
_cell_angle_alpha 90.00
_cell_angle_beta 91.29
_cell_angle_gamma 90.00
_space_group_name_H-M_alt 'P 1 21/c 1'
_space_group_IT_number 14
loop_
_space_group_symop_operation_xyz
'x,y,z'
'-x,-y,-z'
'-x,y+1/2,-z+1/2'
'x,-y+1/2,z+1/2'
loop_
_atom_site_label
_atom_site_type_symbol
_atom_site_fract_x
_atom_site_fract_y
_atom_site_fract_z
_atom_site_occupancy
Sr1 Sr 0.0000 0.0000 0.0000 1
Mo1 Mo 0.2492 0.0471 0.6635 1
As1 As 0.2430 0.0409 0.3457 1
O1 O 0.0479 0.6251 0.8425 1
O2 O 0.2077 0.6776 0.0956 1
O3 O 0.2251 0.1888 0.4742 1
O4 O 0.2420 0.1454 0.1990 1
O5 O 0.2513 0.5079 0.3207 1
O6 O 0.4651 0.5901 0.8604 1
```

Computed properties:
DOS at the Fermi energy: 0.00 states/eV/cell
energy relative to the elements, uncorrected: -175.3 kJ/mol of atoms
crystal system: monoclinic
total magnetization: 0.001 μB/cell

---

7.
Nb2SiSe after structural relaxation. Source: Alexandria via LeMat-Bulk, functional GGA-PBEsol.

The structure in CIF format:
```
data_Nb2SiSe
_chemical_formula_sum 'Nb8 Si4 Se4'
_cell_length_a 6.3506
_cell_length_b 6.3506
_cell_length_c 6.3506
_cell_angle_alpha 90.00
_cell_angle_beta 90.00
_cell_angle_gamma 90.00
_space_group_name_H-M_alt 'F m -3 m'
_space_group_IT_number 225
_space_group_name_Hall '-F 4 2 3'
loop_
_atom_site_label
_atom_site_type_symbol
_atom_site_fract_x
_atom_site_fract_y
_atom_site_fract_z
_atom_site_occupancy
Nb1 Nb 0.2500 0.2500 0.2500 1
Si1 Si 0.0000 0.0000 0.0000 1
Se1 Se 0.0000 0.0000 0.5000 1
```

Computed properties:
DOS at the Fermi energy: 8.39 states/eV/cell
energy relative to the elements, uncorrected: -35.8 kJ/mol of atoms
crystal system: cubic
total magnetization: 0.001 μB/cell

---

8.
ZnPAu3 after structural relaxation. Source: Alexandria via LeMat-Bulk, functional GGA-PBEsol.

The structure in CIF format:
```
data_ZnPAu3
_chemical_formula_sum 'Zn1 P1 Au3'
_cell_length_a 4.6720
_cell_length_b 4.6720
_cell_length_c 4.6720
_cell_angle_alpha 90.00
_cell_angle_beta 90.00
_cell_angle_gamma 90.00
_space_group_name_H-M_alt 'P m -3 m'
_space_group_IT_number 221
_space_group_name_Hall '-P 4 2 3'
loop_
_atom_site_label
_atom_site_type_symbol
_atom_site_fract_x
_atom_site_fract_y
_atom_site_fract_z
_atom_site_occupancy
Zn1 Zn 0.0000 0.0000 0.0000 1
P1 P 0.5000 0.5000 0.5000 1
Au1 Au 0.0000 0.5000 0.5000 1
```

Computed properties:
DOS at the Fermi energy: 2.04 states/eV/cell
crystal system: cubic
total magnetization: 0.000 μB/cell
energy of formation from the pure elements: 0.381 eV/atom